BaBeZnH6, optimized geometry, DFT PBE; total DFT energy (no corrections) = -3.080 eV per atom
1.0
4.658 0.000 0.000
2.329 4.034 0.000
0.000 0.000 5.358
Ba Be Zn H
1 1 1 6
direct
0.000 0.000 0.000
0.333 0.333 0.500
0.667 0.667 0.500
0.027 0.385 0.314
0.385 0.027 0.686
0.588 0.385 0.686
0.027 0.588 0.686
0.385 0.588 0.314
0.588 0.027 0.314